No. 1
{
  "formula": "Sm2NiRh2",
  "functional": "GGA-PBE",
  "state": "relaxed",
  "total_energy_ev_per_atom": -6.5507,
  "crystal_system": "monoclinic",
  "lattice_angstrom": [[5.5370, 0.2281, 1.0591], [2.6364, 4.8745, 1.0591], [0.3192, 0.1993, 7.6228]],
  "species": ["Sm", "Sm", "Sm", "Sm", "Ni", "Ni", "Rh", "Rh", "Rh", "Rh"],
  "fractional_positions": [[0.4790, 0.2201, 0.1533], [0.7799, 0.5210, 0.3467], [0.5210, 0.7799, 0.8467], [0.2201, 0.4790, 0.6533], [0.1796, 0.8204, 0.2500], [0.8204, 0.1796, 0.7500], [0.7539, 0.9987, 0.5003], [0.0013, 0.2461, 0.9997], [0.2461, 0.0013, 0.4997], [0.9987, 0.7539, 0.0003]]
}

---

No. 2
{
  "formula": "YBeW",
  "functional": "GGA-PBE",
  "state": "relaxed",
  "de_polymorph_kj_per_mol_atoms": 32.6,
  "crystal_system": "cubic",
  "lattice_angstrom": [[-0.7823, -0.8926, 4.1404], [-3.1186, -2.7783, 1.0521], [1.0121, -3.8699, 1.5973]],
  "species": ["Y", "Be", "W"],
  "fractional_positions": [[0.5000, 0.5000, 0.5000], [0.7500, 0.7500, 0.7500], [0.0000, 0.0000, 0.0000]]
}

---

No. 3
{
  "formula": "TbPm2Y4Tm2",
  "functional": "GGA-PBE",
  "state": "relaxed",
  "total_energy_ev_per_atom": -5.4270,
  "crystal_system": "monoclinic",
  "lattice_angstrom": [[3.6045, 0.0000, 0.0000], [-1.8023, 9.3331, -0.4782], [0.0000, -3.7135, 8.8235]],
  "species": ["Tb", "Pm", "Pm", "Y", "Y", "Y", "Y", "Tm", "Tm"],
  "fractional_positions": [[0.0000, 0.0000, 0.0000], [0.8515, 0.7029, 0.3321], [0.1485, 0.2971, 0.6679], [0.8151, 0.6302, 0.6683], [0.1849, 0.3698, 0.3317], [0.5187, 0.0374, 0.3317], [0.4813, 0.9626, 0.6683], [0.3331, 0.6662, 0.9992], [0.6669, 0.3338, 0.0008]]
}

---

No. 4
{
  "formula": "Ag4SnSb",
  "functional": "GGA-PBE",
  "state": "relaxed",
  "de_polymorph_kj_per_mol_atoms": 0.0,
  "crystal_system": "triclinic",
  "formation_energy_uncorrected_ev_per_atom": 0.04,
  "lattice_angstrom": [[-4.0830, 0.1494, 1.3098], [-1.2976, 0.3310, -4.0813], [-4.7109, -6.7503, 0.9432]],
  "species": ["Ag", "Ag", "Ag", "Ag", "Sn", "Sb"],
  "fractional_positions": [[0.3101, 0.0033, 0.9602], [0.5006, 0.0027, 0.2520], [0.0018, 0.5027, 0.2522], [0.1937, 0.5021, 0.5419], [0.6802, 0.0021, 0.5554], [0.8215, 0.5033, 0.9494]]
}

---

No. 5
{
  "formula": "NaSe2Cl",
  "functional": "GGA-PBE",
  "state": "relaxed",
  "de_polymorph_kj_per_mol_atoms": 22.3,
  "crystal_system": "cubic",
  "formation_energy_uncorrected_ev_per_atom": 0.21,
  "lattice_angstrom": [[0.0000, 3.5713, 3.5713], [3.5713, 0.0000, 3.5713], [3.5713, 3.5713, 0.0000]],
  "species": ["Na", "Se", "Se", "Cl"],
  "fractional_positions": [[0.0000, 0.0000, 0.0000], [0.2500, 0.2500, 0.2500], [0.7500, 0.7500, 0.7500], [0.5000, 0.5000, 0.5000]]
}

---

No. 6
{
  "formula": "LaNdIrBr",
  "functional": "GGA-PBE",
  "state": "relaxed",
  "crystal_system": "trigonal",
  "formation_energy_uncorrected_ev_per_atom": -1.14,
  "lattice_angstrom": [[-0.1085, 0.5982, -4.1309], [1.0661, -3.7309, 1.5420], [-7.9326, -1.3901, 2.1171]],
  "species": ["La", "Nd", "Ir", "Br"],
  "fractional_positions": [[0.5106, 0.1531, 0.6791], [0.1003, 0.9481, 0.0638], [0.3044, 0.5501, 0.8700], [0.9626, 0.3795, 0.3568]]
}

---

No. 7
{
  "formula": "BaNaO2",
  "functional": "GGA-PBE",
  "state": "relaxed",
  "crystal_system": "tetragonal",
  "formation_energy_uncorrected_ev_per_atom": -1.52,
  "lattice_angstrom": [[-3.8684, 3.6852, -0.0333], [-1.8081, -1.9399, -4.6383], [-6.5698, -3.0166, 0.7455]],
  "species": ["Na", "Na", "Ba", "Ba", "O", "O", "O", "O"],
  "fractional_positions": [[0.5000, 0.5000, 0.0000], [0.2500, 0.7500, 0.5000], [0.0000, 0.0000, 0.0000], [0.7500, 0.2500, 0.5000], [0.6004, 0.1250, 0.2500], [0.1496, 0.6250, 0.2500], [0.3750, 0.3996, 0.7500], [0.8750, 0.8504, 0.7500]]
}

---

No. 8
{
  "formula": "Nd8Ho2Sc3",
  "functional": "GGA-PBE",
  "state": "relaxed",
  "de_polymorph_kj_per_mol_atoms": 0.0,
  "crystal_system": "monoclinic",
  "lattice_angstrom": [[-3.2465, 0.7002, -4.9903], [-7.5981, -4.2648, 1.2392], [-5.2631, 6.9341, 1.2826]],
  "species": ["Nd", "Nd", "Nd", "Nd", "Nd", "Nd", "Nd", "Nd", "Ho", "Ho", "Sc", "Sc", "Sc"],
  "fractional_positions": [[0.2449, 0.5861, 0.5861], [0.7551, 0.4139, 0.4139], [0.8822, 0.1364, 0.1364], [0.1178, 0.8636, 0.8636], [0.6461, 0.6115, 0.0792], [0.6460, 0.0792, 0.6114], [0.3540, 0.9208, 0.3886], [0.3539, 0.3885, 0.9208], [0.3222, 0.3178, 0.3178], [0.6778, 0.6822, 0.6822], [0.5000, 0.0000, 0.0000], [0.0000, 0.2697, 0.7303], [0.0000, 0.7303, 0.2697]]
}

---

No. 9
{
  "formula": "YBe2Co",
  "functional": "GGA-PBE",
  "state": "relaxed",
  "de_polymorph_kj_per_mol_atoms": 32.5,
  "crystal_system": "tetragonal",
  "lattice_angstrom": [[-1.3867, -1.6209, -2.0577], [0.2441, -2.3981, 1.7245], [-5.5582, 1.3583, 2.6758]],
  "species": ["Y", "Be", "Be", "Co"],
  "fractional_positions": [[0.5000, 0.5000, 0.7312], [0.0000, 0.0000, 0.0829], [0.5000, 0.5000, 0.2628], [0.0000, 0.0000, 0.4232]]
}

---

No. 10
{
  "formula": "Co2TcGeH",
  "functional": "GGA-PBE",
  "state": "relaxed",
  "total_energy_ev_per_atom": -6.5000,
  "crystal_system": "tetragonal",
  "lattice_angstrom": [[3.6543, 0.0000, 0.0000], [0.0000, 3.6543, 0.0000], [0.0000, 0.0000, 3.8788]],
  "species": ["H", "Ge", "Co", "Co", "Tc"],
  "fractional_positions": [[0.0000, 0.0000, 0.0000], [0.5000, 0.5000, 0.5000], [0.0000, 0.5000, 0.0000], [0.5000, 0.0000, 0.0000], [0.0000, 0.0000, 0.5000]]
}

---

No. 11
{
  "formula": "Er4HgRu2Pt",
  "functional": "GGA-PBE",
  "state": "relaxed",
  "total_energy_ev_per_atom": -6.0169,
  "crystal_system": "trigonal",
  "lattice_angstrom": [[-2.1229, -4.0709, -1.7052], [2.6517, -4.0716, -0.6145], [-1.5409, -4.9668, 6.7422]],
  "species": ["Er", "Er", "Er", "Er", "Hg", "Ru", "Ru", "Pt"],
  "fractional_positions": [[0.3793, 0.3793, 0.8620], [0.8719, 0.8719, 0.3844], [0.1281, 0.1281, 0.6156], [0.6207, 0.6207, 0.1380], [0.0000, 0.0000, 0.0000], [0.7499, 0.7499, 0.7502], [0.2501, 0.2501, 0.2498], [0.5000, 0.5000, 0.5000]]
}

---

No. 12
{
  "formula": "SrLa2Sc",
  "functional": "GGA-PBE",
  "state": "relaxed",
  "de_polymorph_kj_per_mol_atoms": 11.4,
  "crystal_system": "tetragonal",
  "lattice_angstrom": [[6.2589, 0.0029, 0.0000], [1.5943, 6.0525, 0.0000], [-3.9266, -3.0277, 3.8196]],
  "species": ["La", "La", "Sc", "Sr"],
  "fractional_positions": [[0.0000, 0.0000, 0.0000], [0.5000, 0.5000, 0.0000], [0.2500, 0.7500, 0.5000], [0.7500, 0.2500, 0.5000]]
}

---

No. 13
{
  "formula": "LaGe3Rh",
  "functional": "GGA-PBE",
  "state": "relaxed",
  "total_energy_ev_per_atom": -5.9981,
  "crystal_system": "tetragonal",
  "lattice_angstrom": [[-5.7958, 0.2303, 1.4710], [-3.3004, -4.7921, -1.3969], [5.2092, 1.0082, 2.7670]],
  "species": ["La", "Ge", "Ge", "Ge", "Rh"],
  "fractional_positions": [[0.5788, 0.5788, 0.0000], [0.3423, 0.8423, 0.5000], [0.8423, 0.3423, 0.5000], [0.0003, 0.0003, 0.0000], [0.2383, 0.2383, 0.0000]]
}

---

No. 14
{
  "formula": "Dy3Y3Sc5",
  "functional": "GGA-PBE",
  "state": "relaxed",
  "total_energy_ev_per_atom": -5.0635,
  "crystal_system": "hexagonal",
  "lattice_angstrom": [[-5.3402, -0.5889, 0.0945], [0.9652, -8.9229, -1.0590], [-0.2461, 3.5647, 8.3008]],
  "species": ["Dy", "Dy", "Dy", "Y", "Y", "Y", "Sc", "Sc", "Sc", "Sc", "Sc"],
  "fractional_positions": [[0.0000, 0.3839, 0.3839], [0.0000, 0.6161, 0.0000], [0.0000, 0.0000, 0.6161], [0.5000, 0.6183, 0.6183], [0.5000, 0.0000, 0.3817], [0.5000, 0.3817, 0.0000], [0.5000, 0.3333, 0.6667], [0.5000, 0.6667, 0.3333], [0.5000, 0.2414, 0.2414], [0.5000, 0.0000, 0.7586], [0.5000, 0.7586, 0.0000]]
}

---

No. 15
{
  "formula": "Be2NbO2",
  "functional": "GGA-PBE",
  "state": "relaxed",
  "de_polymorph_kj_per_mol_atoms": 0.0,
  "crystal_system": "tetragonal",
  "formation_energy_uncorrected_ev_per_atom": -0.84,
  "lattice_angstrom": [[-2.9981, 1.3389, -0.8526], [-1.2242, -0.7904, 3.0634], [-0.9687, 3.6831, 2.4415]],
  "species": ["Be", "Be", "Nb", "O", "O"],
  "fractional_positions": [[0.3497, 0.3497, 0.3006], [0.6503, 0.6503, 0.6994], [0.0000, 0.0000, 0.0000], [0.7500, 0.2500, 0.5000], [0.2500, 0.7500, 0.5000]]
}

---

No. 16
{
  "formula": "Dy2YEr6",
  "functional": "GGA-PBE",
  "state": "relaxed",
  "de_polymorph_kj_per_mol_atoms": 8.2,
  "crystal_system": "monoclinic",
  "lattice_angstrom": [[-4.7477, 1.6087, -4.1408], [-7.4167, -3.6268, 4.6621], [-1.4069, 8.9876, 2.6720]],
  "species": ["Dy", "Dy", "Dy", "Dy", "Y", "Y", "Er", "Er", "Er", "Er", "Er", "Er", "Er", "Er", "Er", "Er", "Er", "Er"],
  "fractional_positions": [[0.1308, 0.6183, 0.6655], [0.3692, 0.3345, 0.3817], [0.8692, 0.3817, 0.3345], [0.6308, 0.6655, 0.6183], [0.2500, 0.1190, 0.8810], [0.7500, 0.8810, 0.1190], [0.5035, 0.6480, 0.2778], [0.9965, 0.7222, 0.3520], [0.4965, 0.3520, 0.7222], [0.0035, 0.2778, 0.6480], [0.7275, 0.0613, 0.4618], [0.7725, 0.5382, 0.9387], [0.2725, 0.9387, 0.5382], [0.2275, 0.4618, 0.0613], [0.3154, 0.7763, 0.9550], [0.1846, 0.0450, 0.2237], [0.6846, 0.2237, 0.0450], [0.8154, 0.9550, 0.7763]]
}

---

No. 17
{
  "formula": "B3RhS",
  "functional": "GGA-PBE",
  "state": "relaxed",
  "de_polymorph_kj_per_mol_atoms": 33.4,
  "crystal_system": "cubic",
  "formation_energy_uncorrected_ev_per_atom": 1.62,
  "lattice_angstrom": [[3.7836, 0.0000, 0.0000], [0.0000, 3.7836, 0.0000], [0.0000, 0.0000, 3.7836]],
  "species": ["S", "B", "B", "B", "Rh"],
  "fractional_positions": [[0.0000, 0.0000, 0.0000], [0.0000, 0.5000, 0.0000], [0.0000, 0.0000, 0.5000], [0.5000, 0.0000, 0.0000], [0.5000, 0.5000, 0.5000]]
}

---

No. 18
{
  "formula": "Nb2Pd2I",
  "functional": "GGA-PBE",
  "state": "relaxed",
  "de_polymorph_kj_per_mol_atoms": 2.2,
  "crystal_system": "tetragonal",
  "formation_energy_uncorrected_ev_per_atom": 0.24,
  "lattice_angstrom": [[-4.6845, -5.0677, -4.1627], [5.2764, -5.9504, 1.3063], [-1.4825, -0.7483, 2.5793]],
  "species": ["I", "I", "Nb", "Nb", "Nb", "Nb", "Pd", "Pd", "Pd", "Pd"],
  "fractional_positions": [[0.0000, 0.0000, 0.0000], [0.5000, 0.5000, 0.0000], [0.1147, 0.6147, 0.5000], [0.6147, 0.8853, 0.5000], [0.8853, 0.3853, 0.5000], [0.3853, 0.1147, 0.5000], [0.3299, 0.8299, 0.0000], [0.8299, 0.6701, 0.0000], [0.6701, 0.1701, 0.0000], [0.1701, 0.3299, 0.0000]]
}

---

No. 19
{
  "formula": "Ti3ZnAu",
  "functional": "GGA-PBE",
  "state": "relaxed",
  "de_polymorph_kj_per_mol_atoms": 0.0,
  "crystal_system": "monoclinic",
  "lattice_angstrom": [[8.5999, 0.7242, 0.5700], [2.6058, 6.5013, -0.1693], [2.6058, 1.3630, 6.3591]],
  "species": ["Ti", "Ti", "Ti", "Ti", "Ti", "Ti", "Ti", "Ti", "Ti", "Ti", "Ti", "Ti", "Zn", "Zn", "Zn", "Zn", "Au", "Au", "Au", "Au"],
  "fractional_positions": [[0.5998, 0.7368, 0.0472], [0.9002, 0.9528, 0.2632], [0.4002, 0.2632, 0.9528], [0.0998, 0.0472, 0.7368], [0.9290, 0.3594, 0.0408], [0.5710, 0.9592, 0.6406], [0.0710, 0.6406, 0.9592], [0.4290, 0.0408, 0.3594], [0.4092, 0.6567, 0.6956], [0.0908, 0.3044, 0.3433], [0.5908, 0.3433, 0.3044], [0.9092, 0.6956, 0.6567], [0.7143, 0.4331, 0.8163], [0.7857, 0.1837, 0.5669], [0.2857, 0.5669, 0.1837], [0.2143, 0.8163, 0.4331], [0.2500, 0.9770, 0.0230], [0.7500, 0.0230, 0.9770], [0.2500, 0.3749, 0.6251], [0.7500, 0.6251, 0.3749]]
}

---

No. 20
{
  "formula": "RbSrTeI2",
  "functional": "GGA-PBE",
  "state": "relaxed",
  "de_polymorph_kj_per_mol_atoms": 60.4,
  "crystal_system": "tetragonal",
  "formation_energy_uncorrected_ev_per_atom": -0.52,
  "lattice_angstrom": [[-0.2775, -2.0094, -6.0845], [-3.6301, -4.9693, 1.8067], [-5.1958, 3.4656, -0.9076]],
  "species": ["I", "I", "Sr", "Te", "Rb"],
  "fractional_positions": [[0.0000, 0.5000, 0.0000], [0.5000, 0.0000, 0.0000], [0.5000, 0.5000, 0.5000], [0.0000, 0.0000, 0.5000], [0.0000, 0.0000, 0.0000]]
}

---

No. 21
{
  "formula": "Pr2InCo",
  "functional": "GGA-PBE",
  "state": "relaxed",
  "total_energy_ev_per_atom": -5.0303,
  "crystal_system": "tetragonal",
  "lattice_angstrom": [[-2.3073, -2.0671, 1.8650], [2.7828, -1.6400, 1.6250], [-0.1812, 5.3876, 5.7474]],
  "species": ["Pr", "Pr", "Co", "In"],
  "fractional_positions": [[0.0000, 0.0000, 0.7841], [0.0000, 0.0000, 0.2159], [0.5000, 0.5000, 0.0000], [0.5000, 0.5000, 0.5000]]
}

---

No. 22
{
  "formula": "BaNaIn2Pb",
  "functional": "GGA-PBE",
  "state": "relaxed",
  "de_polymorph_kj_per_mol_atoms": 0.0,
  "crystal_system": "orthorhombic",
  "lattice_angstrom": [[5.0751, 0.0000, 0.0000], [0.0000, 4.9018, 0.0000], [-2.5375, -2.4509, 6.6447]],
  "species": ["Ba", "Na", "In", "In", "Pb"],
  "fractional_positions": [[0.4404, 0.4404, 0.8808], [0.1971, 0.6971, 0.3941], [0.6854, 0.1854, 0.3708], [0.0566, 0.0566, 0.1131], [0.8328, 0.8328, 0.6655]]
}

---

No. 23
{
  "formula": "MgSb3N",
  "functional": "GGA-PBE",
  "state": "relaxed",
  "de_polymorph_kj_per_mol_atoms": 0.0,
  "crystal_system": "cubic",
  "formation_energy_uncorrected_ev_per_atom": 0.45,
  "lattice_angstrom": [[-3.4301, 0.7415, -3.2578], [1.3657, -3.9501, -2.3369], [-3.0493, -2.6031, 2.6181]],
  "species": ["Sb", "Sb", "Sb", "Mg", "N"],
  "fractional_positions": [[0.0000, 0.5000, 0.0000], [0.0000, 0.0000, 0.5000], [0.5000, 0.0000, 0.0000], [0.5000, 0.5000, 0.5000], [0.0000, 0.0000, 0.0000]]
}

---

No. 24
{
  "formula": "In2BiTe4",
  "functional": "GGA-PBE",
  "state": "relaxed",
  "crystal_system": "tetragonal",
  "formation_energy_uncorrected_ev_per_atom": -0.20,
  "lattice_angstrom": [[-0.7371, 3.9933, -5.7639], [-2.2205, -6.6787, -0.4213], [-3.9778, 3.0387, 4.9655]],
  "species": ["In", "In", "Bi", "Te", "Te", "Te", "Te"],
  "fractional_positions": [[0.2500, 0.7500, 0.5000], [0.7500, 0.2500, 0.5000], [0.5000, 0.5000, 0.0000], [0.3130, 0.1768, 0.4897], [0.8232, 0.3130, 0.1362], [0.1768, 0.6870, 0.8638], [0.6870, 0.8232, 0.5103]]
}

---

No. 25
{
  "formula": "Sm3Ta2N7",
  "functional": "GGA-PBE",
  "state": "relaxed",
  "crystal_system": "orthorhombic",
  "formation_energy_uncorrected_ev_per_atom": -0.97,
  "lattice_angstrom": [[-0.0023, 3.5059, 1.3862], [-3.6851, 0.7003, -1.7773], [-2.9487, -3.7512, 9.4828]],
  "species": ["Sm", "Sm", "Sm", "Ta", "Ta", "N", "N", "N", "N", "N", "N", "N"],
  "fractional_positions": [[0.5000, 0.5000, 0.0000], [0.5000, 0.6856, 0.3712], [0.5000, 0.3144, 0.6288], [0.0000, 0.9048, 0.8095], [0.0000, 0.0952, 0.1905], [0.0000, 0.4048, 0.8096], [0.0000, 0.7663, 0.5327], [0.0000, 0.0000, 0.0000], [0.0000, 0.5952, 0.1904], [0.5000, 0.1229, 0.2457], [0.5000, 0.8771, 0.7543], [0.0000, 0.2337, 0.4673]]
}